Record 1
Density functional theory data (PBE-GGA) for Ac3Sn2Ge after structural relaxation. Values from VASP.

Computed properties:
density	7941	kg/m³
magnetic moment	0.0	μB per cell
space-group type	No. 62
raw total energy	-4.80	eV/atom
volume	829	Å³/cell
ΔE to the lowest computed polymorph	0	meV per atom
energy of formation from the pure elements	-0.64	eV/atom

```
&SYSTEM
  ibrav = 0, nat = 24, ntyp = 3
/
ATOMIC_SPECIES
Ac 227.00 Ac.upf
Sn 118.71 Sn.upf
Ge 72.64 Ge.upf
ATOMIC_POSITIONS crystal
Ac 0.054 0.250 0.120
Ac 0.116 0.750 0.551
Ac 0.226 0.250 0.792
Ac 0.274 0.750 0.292
Ac 0.384 0.250 0.051
Ac 0.446 0.750 0.620
Ac 0.554 0.250 0.380
Ac 0.616 0.750 0.949
Ac 0.726 0.250 0.708
Ac 0.774 0.750 0.208
Ac 0.884 0.250 0.449
Ac 0.946 0.750 0.880
Sn 0.006 0.750 0.304
Sn 0.193 0.750 0.001
Sn 0.307 0.250 0.501
Sn 0.494 0.250 0.804
Sn 0.506 0.750 0.196
Sn 0.693 0.750 0.499
Sn 0.807 0.250 0.999
Sn 0.994 0.250 0.696
Ge 0.125 0.250 0.368
Ge 0.375 0.750 0.868
Ge 0.625 0.250 0.132
Ge 0.875 0.750 0.632
CELL_PARAMETERS angstrom
13.412 0.000 0.000
0.000 4.730 0.000
0.000 0.000 13.066
```

Record 2
Density functional theory data (PBE-GGA) for Ba2Cu after structural relaxation. Values from VASP.

Computed properties:
density	4605	kg/m³
magnetic moment	0.0	μB per cell
space-group type	No. 139
raw total energy	-2.62	eV/atom
volume	122	Å³/cell
energy of formation from the pure elements	0.03	eV/atom

```
&SYSTEM
  ibrav = 0, nat = 3, ntyp = 2
/
ATOMIC_SPECIES
Ba 137.33 Ba.upf
Cu 63.55 Cu.upf
ATOMIC_POSITIONS crystal
Ba 0.126 0.126 0.000
Ba 0.874 0.874 0.000
Cu 0.500 0.500 0.000
CELL_PARAMETERS angstrom
-2.019 2.019 7.482
2.019 -2.019 7.482
2.019 2.019 -7.482
```

Record 3
Density functional theory data (PBE-GGA) for NdGaCo2C after structural relaxation. Values from VASP.

Computed properties:
density	7771	kg/m³
magnetic moment	0.0	μB per cell
space-group type	No. 63
raw total energy	-6.56	eV/atom
volume	147	Å³/cell
energy of formation from the pure elements	-0.31	eV/atom

```
&SYSTEM
  ibrav = 0, nat = 10, ntyp = 4
/
ATOMIC_SPECIES
Nd 144.24 Nd.upf
Ga 69.72 Ga.upf
Co 58.93 Co.upf
C 12.01 C.upf
ATOMIC_POSITIONS crystal
Nd 0.056 0.944 0.750
Nd 0.944 0.056 0.250
Ga 0.226 0.774 0.250
Ga 0.774 0.226 0.750
Co 0.340 0.660 0.562
Co 0.340 0.660 0.938
Co 0.660 0.340 0.062
Co 0.660 0.340 0.438
C 0.500 0.500 0.000
C 0.500 0.500 0.500
CELL_PARAMETERS angstrom
1.982 -5.337 0.000
1.982 5.337 0.000
0.000 0.000 6.947
```

Record 4
Density functional theory data (PBE-GGA) for Rb3TmU3Se8 after structural relaxation. Values from VASP.

Computed properties:
density	5911	kg/m³
magnetic moment	8.0	μB per cell
space-group type	No. 166
raw total energy	-5.96	eV/atom
volume	498	Å³/cell
E_form (uncorrected)	-1356	meV per atom

```
&SYSTEM
  ibrav = 0, nat = 15, ntyp = 4
/
ATOMIC_SPECIES
Rb 85.47 Rb.upf
Tm 168.93 Tm.upf
U 238.03 U.upf
Se 78.96 Se.upf
ATOMIC_POSITIONS crystal
Rb 0.000 0.500 0.500
Rb 0.500 0.000 0.500
Rb 0.500 0.500 0.000
Tm 0.500 0.500 0.500
U 0.000 0.000 0.500
U 0.000 0.500 0.000
U 0.500 0.000 0.000
Se 0.232 0.232 0.232
Se 0.233 0.729 0.729
Se 0.271 0.271 0.767
Se 0.271 0.767 0.271
Se 0.729 0.233 0.729
Se 0.729 0.729 0.233
Se 0.767 0.271 0.271
Se 0.768 0.768 0.768
CELL_PARAMETERS angstrom
4.191 2.420 8.178
-4.191 2.420 8.178
0.000 -4.839 8.178
```

Record 5
Density functional theory data (PBE-GGA) for Pa2Be4Pt3Rh after structural relaxation. Values from VASP.

Computed properties:
density	12964	kg/m³
magnetic moment	0.8	μB per cell
space-group type	No. 115
raw total energy	-6.68	eV/atom
volume	152	Å³/cell
energy of formation from the pure elements	-0.74	eV/atom

```
&SYSTEM
  ibrav = 0, nat = 10, ntyp = 4
/
ATOMIC_SPECIES
Pa 231.04 Pa.upf
Be 9.01 Be.upf
Pt 195.08 Pt.upf
Rh 102.91 Rh.upf
ATOMIC_POSITIONS crystal
Pa 0.000 0.500 0.250
Pa 0.500 0.000 0.750
Be 0.000 0.000 0.000
Be 0.000 0.500 0.623
Be 0.500 0.000 0.377
Be 0.500 0.500 0.000
Pt 0.000 0.500 0.870
Pt 0.500 0.000 0.130
Pt 0.500 0.500 0.500
Rh 0.000 0.000 0.500
CELL_PARAMETERS angstrom
4.020 0.000 0.000
0.000 4.020 0.000
0.000 0.000 9.402
```

Record 6
Density functional theory data (PBE-GGA) for PRuRh4 after structural relaxation. Values from VASP.

Computed properties:
density	9668	kg/m³
magnetic moment	3.9	μB per cell
space-group type	No. 216
raw total energy	-6.68	eV/atom
volume	93	Å³/cell
energy of formation from the pure elements	0.67	eV/atom

```
&SYSTEM
  ibrav = 0, nat = 6, ntyp = 3
/
ATOMIC_SPECIES
P 30.97 P.upf
Ru 101.07 Ru.upf
Rh 102.91 Rh.upf
ATOMIC_POSITIONS crystal
P 0.000 0.000 0.000
Ru 0.250 0.250 0.250
Rh 0.125 0.625 0.625
Rh 0.625 0.125 0.625
Rh 0.625 0.625 0.125
Rh 0.625 0.625 0.625
CELL_PARAMETERS angstrom
0.000 3.601 3.601
3.601 0.000 3.601
3.601 3.601 0.000
```

Record 7
Density functional theory data (PBE-GGA) for Li2PrZrSe4 after structural relaxation. Values from VASP.

Computed properties:
density	5116	kg/m³
magnetic moment	0.0	μB per cell
space-group type	No. 10
raw total energy	-5.34	eV/atom
volume	182	Å³/cell
E_form (uncorrected)	-1451	meV per atom

```
&SYSTEM
  ibrav = 0, nat = 8, ntyp = 4
/
ATOMIC_SPECIES
Li 6.94 Li.upf
Pr 140.91 Pr.upf
Zr 91.22 Zr.upf
Se 78.96 Se.upf
ATOMIC_POSITIONS crystal
Li 0.000 0.000 0.000
Li 0.000 0.500 0.500
Pr 0.500 0.000 0.500
Zr 0.500 0.500 0.000
Se 0.237 0.500 0.225
Se 0.248 0.000 0.767
Se 0.752 0.000 0.233
Se 0.763 0.500 0.775
CELL_PARAMETERS angstrom
6.952 0.000 0.000
0.000 3.980 0.000
-2.297 0.000 6.590
```

Record 8
Density functional theory data (PBE-GGA) for Cr2CoSb after structural relaxation. Values from VASP.

Computed properties:
density	8372	kg/m³
magnetic moment	2.0	μB per cell
space-group type	No. 99
raw total energy	-7.36	eV/atom
volume	56	Å³/cell
E_form (uncorrected)	259	meV per atom

```
&SYSTEM
  ibrav = 0, nat = 4, ntyp = 3
/
ATOMIC_SPECIES
Cr 52.00 Cr.upf
Co 58.93 Co.upf
Sb 121.76 Sb.upf
ATOMIC_POSITIONS crystal
Cr 0.000 0.000 0.000
Cr 0.500 0.500 0.213
Co 0.500 0.500 0.749
Sb 0.000 0.000 0.501
CELL_PARAMETERS angstrom
3.119 0.000 0.000
0.000 3.119 0.000
0.000 0.000 5.805
```

- Which value of magnetic moment does entry 2 give?
  0.0 μB per cell

- What is the raw total energy in the first record?
  -4.80 eV/atom

What did the first record say?
Density functional theory data (PBE-GGA) for Ac3Sn2Ge after structural relaxation. Values from VASP.

Computed properties:
density	7941	kg/m³
magnetic moment	0.0	μB per cell
space-group type	No. 62
raw total energy	-4.80	eV/atom
volume	829	Å³/cell
ΔE to the lowest computed polymorph	0	meV per atom
energy of formation from the pure elements	-0.64	eV/atom

```
&SYSTEM
  ibrav = 0, nat = 24, ntyp = 3
/
ATOMIC_SPECIES
Ac 227.00 Ac.upf
Sn 118.71 Sn.upf
Ge 72.64 Ge.upf
ATOMIC_POSITIONS crystal
Ac 0.054 0.250 0.120
Ac 0.116 0.750 0.551
Ac 0.226 0.250 0.792
Ac 0.274 0.750 0.292
Ac 0.384 0.250 0.051
Ac 0.446 0.750 0.620
Ac 0.554 0.250 0.380
Ac 0.616 0.750 0.949
Ac 0.726 0.250 0.708
Ac 0.774 0.750 0.208
Ac 0.884 0.250 0.449
Ac 0.946 0.750 0.880
Sn 0.006 0.750 0.304
Sn 0.193 0.750 0.001
Sn 0.307 0.250 0.501
Sn 0.494 0.250 0.804
Sn 0.506 0.750 0.196
Sn 0.693 0.750 0.499
Sn 0.807 0.250 0.999
Sn 0.994 0.250 0.696
Ge 0.125 0.250 0.368
Ge 0.375 0.750 0.868
Ge 0.625 0.250 0.132
Ge 0.875 0.750 0.632
CELL_PARAMETERS angstrom
13.412 0.000 0.000
0.000 4.730 0.000
0.000 0.000 13.066
```